No. 1
Below is Cd3Ag2 at its PBEsol-relaxed geometry, with properties calculated at the meta-GGA SCAN level.

Cell and atoms, written as POSCAR:
```
Cd3Ag2
1.0
5.390 0.000 0.000
2.695 4.933 0.000
-2.695 0.000 6.969
Ag Cd
4 6
direct
0.203 0.446 0.097 Ag
0.553 0.554 0.903 Ag
0.357 0.946 0.403 Ag
0.899 0.054 0.597 Ag
0.735 0.907 0.202 Cd
0.440 0.093 0.798 Cd
0.783 0.407 0.298 Cd
0.892 0.593 0.702 Cd
0.069 0.000 0.000 Cd
0.319 0.500 0.500 Cd
```

Properties
ΔH_f (0 K)	-0.025	eV per atom
spin magnetization	0.00	μB per cell
DOS at the Fermi energy	1.1	states/eV/f.u.

---

No. 2
Below is K2Li14Pb3O14 at its PBEsol-relaxed geometry, with properties calculated at the meta-GGA SCAN level.

Cell and atoms, written as POSCAR:
```
K2Li14Pb3O14
1.0
-3.351 -5.362 3.575
7.895 1.507 2.281
-5.656 5.089 2.332
K Li O Pb
2 14 14 3
direct
0.249 0.000 0.500 K
0.751 0.000 0.500 K
0.500 0.000 0.158 Li
0.500 0.000 0.842 Li
0.770 0.540 0.125 Li
0.230 0.460 0.875 Li
0.230 0.460 0.585 Li
0.770 0.540 0.415 Li
0.594 0.732 0.023 Li
0.862 0.268 0.977 Li
0.406 0.268 0.291 Li
0.138 0.732 0.709 Li
0.406 0.268 0.977 Li
0.138 0.732 0.023 Li
0.594 0.732 0.709 Li
0.862 0.268 0.291 Li
0.042 0.498 0.749 O
0.544 0.502 0.251 O
0.958 0.502 0.251 O
0.456 0.498 0.749 O
0.704 0.000 0.000 O
0.296 0.000 0.000 O
0.873 0.745 0.060 O
0.127 0.255 0.940 O
0.127 0.255 0.315 O
0.873 0.745 0.685 O
0.627 0.254 0.843 O
0.373 0.746 0.157 O
0.373 0.746 0.589 O
0.627 0.254 0.411 O
0.728 0.456 0.728 Pb
0.272 0.544 0.272 Pb
0.000 0.000 0.000 Pb
```

Properties
spin magnetization	0.00	μB per cell
DOS at the Fermi energy	0.0	states/eV/f.u.
formation energy without anion corrections	-1.76	eV per atom

---

No. 3
Below is MnSiO3 at its PBEsol-relaxed geometry, with properties calculated at the meta-GGA SCAN level.

Cell and atoms, written as POSCAR:
```
MnSiO3
1.0
5.378 0.000 0.000
0.000 9.249 0.000
-2.019 0.000 9.290
Mn Si O
8 8 24
direct
0.496 0.495 0.250 Mn
0.004 0.995 0.750 Mn
0.504 0.505 0.750 Mn
0.996 0.005 0.250 Mn
0.497 0.852 0.250 Mn
0.003 0.352 0.750 Mn
0.503 0.148 0.750 Mn
0.997 0.648 0.250 Mn
0.217 0.665 0.950 Si
0.283 0.165 0.050 Si
0.783 0.335 0.050 Si
0.717 0.835 0.950 Si
0.724 0.164 0.451 Si
0.776 0.664 0.549 Si
0.276 0.836 0.549 Si
0.224 0.336 0.451 Si
0.423 0.774 0.897 O
0.077 0.274 0.103 O
0.577 0.226 0.103 O
0.923 0.726 0.897 O
0.242 0.512 0.871 O
0.258 0.012 0.129 O
0.758 0.488 0.129 O
0.742 0.988 0.871 O
0.281 0.660 0.126 O
0.219 0.160 0.874 O
0.719 0.340 0.874 O
0.781 0.840 0.126 O
0.939 0.265 0.396 O
0.561 0.765 0.604 O
0.061 0.735 0.604 O
0.439 0.235 0.396 O
0.287 0.339 0.628 O
0.213 0.839 0.372 O
0.713 0.661 0.372 O
0.787 0.161 0.628 O
0.737 0.009 0.374 O
0.263 0.991 0.626 O
0.763 0.509 0.626 O
0.237 0.491 0.374 O
```

Properties
spin magnetization	40.00	μB per cell
DOS at the Fermi energy	0.0	states/eV/f.u.
formation energy without anion corrections	-2.65	eV per atom

---

No. 4
Below is MgSi4WO10 at its PBEsol-relaxed geometry, with properties calculated at the meta-GGA SCAN level.

Cell and atoms, written as POSCAR:
```
MgSi4WO10
1.0
7.325 0.000 0.000
0.000 7.325 0.000
0.000 0.000 14.881
Mg Si W O
4 16 4 40
direct
0.500 0.500 0.500 Mg
0.000 0.000 0.500 Mg
0.000 0.000 0.000 Mg
0.500 0.500 0.000 Mg
0.156 0.239 0.646 Si
0.844 0.761 0.646 Si
0.239 0.156 0.854 Si
0.739 0.344 0.646 Si
0.261 0.656 0.646 Si
0.344 0.739 0.854 Si
0.656 0.261 0.854 Si
0.761 0.844 0.854 Si
0.344 0.261 0.354 Si
0.656 0.739 0.354 Si
0.261 0.344 0.146 Si
0.761 0.156 0.354 Si
0.239 0.844 0.354 Si
0.156 0.761 0.146 Si
0.844 0.239 0.146 Si
0.739 0.656 0.146 Si
0.500 0.000 0.574 W
0.000 0.500 0.926 W
0.000 0.500 0.426 W
0.500 0.000 0.074 W
0.224 0.087 0.574 O
0.776 0.913 0.574 O
0.087 0.224 0.926 O
0.587 0.276 0.574 O
0.413 0.724 0.574 O
0.276 0.587 0.926 O
0.724 0.413 0.926 O
0.913 0.776 0.926 O
0.276 0.413 0.426 O
0.724 0.587 0.426 O
0.413 0.276 0.074 O
0.913 0.224 0.426 O
0.087 0.776 0.426 O
0.224 0.913 0.074 O
0.776 0.087 0.074 O
0.251 0.063 0.374 O
0.587 0.724 0.074 O
0.751 0.563 0.626 O
0.437 0.249 0.874 O
0.937 0.251 0.626 O
0.063 0.749 0.626 O
0.251 0.937 0.874 O
0.749 0.063 0.874 O
0.563 0.751 0.874 O
0.686 0.686 0.250 O
0.814 0.186 0.250 O
0.186 0.814 0.250 O
0.314 0.314 0.250 O
0.814 0.814 0.750 O
0.686 0.314 0.750 O
0.314 0.686 0.750 O
0.186 0.186 0.750 O
0.937 0.749 0.126 O
0.751 0.437 0.126 O
0.249 0.563 0.126 O
0.437 0.751 0.374 O
0.563 0.249 0.374 O
0.063 0.251 0.126 O
0.749 0.937 0.374 O
0.249 0.437 0.626 O
```

Properties
spin magnetization	16.00	μB per cell
DOS at the Fermi energy	0.5	states/eV/f.u.
formation energy without anion corrections	-2.59	eV per atom

---

No. 5
Below is BaZnTe3 at its PBEsol-relaxed geometry, with properties calculated at the meta-GGA SCAN level.

Cell and atoms, written as POSCAR:
```
BaZnTe3
1.0
-1.529 1.499 4.943
-1.084 -5.133 1.222
5.050 -0.647 1.759
Zn Te Ba
1 3 1
direct
0.000 0.000 0.000 Zn
0.000 0.500 0.000 Te
0.000 0.000 0.500 Te
0.500 0.000 0.000 Te
0.500 0.500 0.500 Ba
```

Properties
spin magnetization	0.00	μB per cell
DOS at the Fermi energy	4.1	states/eV/f.u.
formation energy without anion corrections	-0.65	eV per atom

---

No. 6
Below is Y2MgSb at its PBEsol-relaxed geometry, with properties calculated at the meta-GGA SCAN level.

Cell and atoms, written as POSCAR:
```
Y2MgSb
1.0
-2.691 2.838 1.732
-2.662 -3.217 1.137
4.081 -1.902 4.174
Y Sb Mg
2 1 1
direct
0.109 0.000 0.218 Y
0.398 0.500 0.797 Y
0.673 0.500 0.346 Sb
0.837 0.000 0.675 Mg
```

Properties
spin magnetization	0.00	μB per cell
DOS at the Fermi energy	2.5	states/eV/f.u.
formation energy without anion corrections	-0.67	eV per atom

---

No. 7
Below is Zr3C at its PBEsol-relaxed geometry, with properties calculated at the meta-GGA SCAN level.

Cell and atoms, written as POSCAR:
```
Zr3C
1.0
3.109 0.000 0.000
0.000 3.032 0.000
0.000 0.000 7.898
C Zr
1 3
direct
0.000 0.000 0.171 C
0.000 0.500 0.401 Zr
0.500 0.500 0.068 Zr
0.500 0.000 0.693 Zr
```

Properties
ΔH_f (0 K)	0.006	eV per atom
spin magnetization	0.00	μB per cell
DOS at the Fermi energy	2.8	states/eV/f.u.

---

No. 8
Below is Sr2ZnCl at its PBEsol-relaxed geometry, with properties calculated at the meta-GGA SCAN level.

Cell and atoms, written as POSCAR:
```
Sr2ZnCl
1.0
3.570 -0.037 -0.037
0.056 5.588 0.000
0.056 0.000 5.588
Sr Zn Cl
2 1 1
direct
0.000 0.500 0.000 Sr
0.000 0.000 0.500 Sr
0.500 0.500 0.500 Zn
0.500 0.000 0.000 Cl
```

Properties
spin magnetization	0.00	μB per cell
DOS at the Fermi energy	2.6	states/eV/f.u.
formation energy without anion corrections	-0.89	eV per atom

---

No. 9
Below is Ta2MoPb at its PBEsol-relaxed geometry, with properties calculated at the meta-GGA SCAN level.

Cell and atoms, written as POSCAR:
```
Ta2MoPb
1.0
3.463 0.000 0.000
0.000 4.586 0.000
-1.731 -2.293 4.551
Mo Pb Ta
1 1 2
direct
0.500 0.000 0.000 Mo
0.000 0.500 0.000 Pb
0.767 0.767 0.533 Ta
0.233 0.233 0.467 Ta
```

Properties
ΔH_f (0 K)	0.216	eV per atom
spin magnetization	0.00	μB per cell
DOS at the Fermi energy	1.9	states/eV/f.u.

---

No. 10
Below is CsNbNi2I at its PBEsol-relaxed geometry, with properties calculated at the meta-GGA SCAN level.

Cell and atoms, written as POSCAR:
```
CsNbNi2I
1.0
4.849 0.000 0.000
0.000 4.849 0.000
0.000 0.000 5.480
Cs I Nb Ni
1 1 1 2
direct
0.500 0.500 0.500 Cs
0.000 0.000 0.500 I
0.000 0.000 0.000 Nb
0.000 0.500 0.000 Ni
0.500 0.000 0.000 Ni
```

Properties
spin magnetization	0.65	μB per cell
DOS at the Fermi energy	3.7	states/eV/f.u.
formation energy without anion corrections	0.70	eV per atom

---

No. 11
Below is CaLaP2S at its PBEsol-relaxed geometry, with properties calculated at the meta-GGA SCAN level.

Cell and atoms, written as POSCAR:
```
CaLaP2S
1.0
4.951 0.000 0.000
0.000 4.951 0.000
0.000 0.000 5.021
P Ca S La
2 1 1 1
direct
0.000 0.500 0.000 P
0.500 0.000 0.000 P
0.000 0.000 0.000 Ca
0.000 0.000 0.500 S
0.500 0.500 0.500 La
```

Properties
spin magnetization	0.00	μB per cell
DOS at the Fermi energy	4.0	states/eV/f.u.
formation energy without anion corrections	-0.43	eV per atom

---

No. 12
Below is KNa3Ta at its PBEsol-relaxed geometry, with properties calculated at the meta-GGA SCAN level.

Cell and atoms, written as POSCAR:
```
KNa3Ta
1.0
-5.233 -2.936 -0.964
2.471 -5.115 2.160
-1.855 1.468 5.598
Na K Ta
3 1 1
direct
0.000 0.500 0.000 Na
0.000 0.000 0.500 Na
0.500 0.000 0.000 Na
0.500 0.500 0.500 K
0.000 0.000 0.000 Ta
```

Properties
ΔH_f (0 K)	1.193	eV per atom
spin magnetization	5.57	μB per cell
DOS at the Fermi energy	3.7	states/eV/f.u.

---

Q: DOS at the Fermi energy of number 12 (KNa3Ta)?
A: 3.7 states/eV/f.u.

---

Copy entry 7 word for word.
Below is Zr3C at its PBEsol-relaxed geometry, with properties calculated at the meta-GGA SCAN level.

Cell and atoms, written as POSCAR:
```
Zr3C
1.0
3.109 0.000 0.000
0.000 3.032 0.000
0.000 0.000 7.898
C Zr
1 3
direct
0.000 0.000 0.171 C
0.000 0.500 0.401 Zr
0.500 0.500 0.068 Zr
0.500 0.000 0.693 Zr
```

Properties
ΔH_f (0 K)	0.006	eV per atom
spin magnetization	0.00	μB per cell
DOS at the Fermi energy	2.8	states/eV/f.u.